[1]
Compound: Mg2Si2Pd7
Source: the Alexandria database
Functional: PBE-GGA
Structure: relaxed

Cell and atoms, written as POSCAR:
```
Mg2Si2Pd7
1.0
-0.663 0.242 -4.238
2.842 -6.209 -0.799
-6.191 0.564 3.178
Pd Si Mg
7 2 2
Direct
0.859 0.764 0.719 Pd
0.373 0.487 0.747 Pd
0.500 0.991 0.000 Pd
0.627 0.740 0.253 Pd
0.123 0.445 0.247 Pd
0.141 0.045 0.281 Pd
0.877 0.198 0.753 Pd
0.000 0.641 0.000 Si
0.500 0.328 0.000 Si
0.281 0.889 0.562 Mg
0.719 0.327 0.438 Mg
```

Output
Fermi-level density of states = 4.00 states/eV/f.u.
Formation energy (no corrections) = -575 meV per atom
Energy above the most stable polymorph in this dataset = 0.000 eV per atom
Mass density = 8.4 Mg/m³
Space-group type = Imm2 (44)
V = 15.3 Å³ per atom


[2]
Compound: LiTiB
Source: the Alexandria database
Functional: PBE-GGA
Structure: relaxed

Cell and atoms, written as POSCAR:
```
LiTiB
1.0
11.435 0.000 -0.115
4.988 1.509 -2.263
-4.988 1.509 2.263
B Ti Li
2 2 2
Direct
0.583 0.671 0.329 B
0.417 0.329 0.671 B
0.142 0.200 0.800 Ti
0.858 0.800 0.200 Ti
0.685 0.235 0.765 Li
0.315 0.765 0.235 Li
```

Output
Fermi-level density of states = 1.52 states/eV/f.u.
Energy above the most stable polymorph in this dataset = 0.269 eV per atom
DFT formation energy = -0.14 eV/atom
Mass density = 2.9 Mg/m³
Space-group type = C2/m (12)
V = 12.7 Å³ per atom


[3]
Compound: HoErMgCr
Source: the Alexandria database
Functional: PBE-GGA
Structure: relaxed

Cell and atoms, written as POSCAR:
```
HoErMgCr
1.0
-3.803 -2.086 -2.787
0.460 -4.811 -1.795
-2.881 -3.782 1.994
Ho Cr Mg Er
1 1 1 1
Direct
0.250 0.250 0.250 Ho
0.500 0.500 0.500 Cr
0.000 0.000 0.000 Mg
0.750 0.750 0.750 Er
```

Output
Fermi-level density of states = 2.37 states/eV/f.u.
DFT formation energy = 0.14 eV/atom
Mass density = 7.0 Mg/m³
Space-group type = F-43m (216)
V = 24.2 Å³ per atom


[4]
Compound: PrSmCuAg
Source: the Alexandria database
Functional: PBE-GGA
Structure: relaxed

Cell and atoms, written as POSCAR:
```
PrSmCuAg
1.0
5.202 0.000 0.000
2.601 4.505 0.000
2.601 1.502 4.247
Ag Pr Sm Cu
1 1 1 1
Direct
0.750 0.750 0.750 Ag
0.000 0.000 0.000 Pr
0.500 0.500 0.500 Sm
0.250 0.250 0.250 Cu
```

Output
Fermi-level density of states = 4.03 states/eV/f.u.
Energy above the most stable polymorph in this dataset = 0.027 eV per atom
DFT formation energy = -0.18 eV/atom
Mass density = 7.7 Mg/m³
Space-group type = F-43m (216)
V = 24.9 Å³ per atom